A relaxed structure of Zr2CoBiTe. Source: Alexandria via LeMat-Bulk, functional PBE.

extended XYZ file:
```
5
Lattice="5.487 0.000 0.000 0.000 5.487 0.000 0.000 0.000 5.805" Properties=species:S:1:pos:R:3 pbc="T T T"
Zr 0.000 2.744 0.000
Zr 2.744 0.000 0.000
Co 0.000 0.000 2.903
Bi 2.744 2.744 0.000
Te 2.744 2.744 2.903
```

Output
crystal system: tetragonal
E: -4.660 eV per atom
formation energy (no corrections): 1.59 eV per atom

A relaxed structure of RbMg6Sn. Source: Alexandria via LeMat-Bulk, functional PBE.

extended XYZ file:
```
8
Lattice="5.112 0.000 0.000 0.000 3.927 5.506 0.000 -3.927 5.506" Properties=species:S:1:pos:R:3 pbc="T T T"
Rb 0.000 0.000 0.000
Mg 0.000 -1.590 3.093
Mg 0.000 1.590 3.093
Mg 2.556 0.000 2.514
Mg 2.556 -1.548 5.362
Mg 2.556 1.548 5.362
Mg 2.556 0.000 8.349
Sn 0.000 0.000 6.466
```

Output
crystal system: orthorhombic
E: -1.684 eV per atom
offset from the most stable computed form: 0.16 eV/f.u.
energy of formation: 0.134 eV/atom

A relaxed structure of ReRuSe2. Source: Alexandria via LeMat-Bulk, functional PBE.

extended XYZ file:
```
4
Lattice="1.541 0.890 8.357 -1.541 0.890 8.357 0.000 -1.779 8.357" Properties=species:S:1:pos:R:3 pbc="T T T"
Re 0.000 0.000 0.000
Ru 0.000 0.000 12.536
Se 0.000 0.000 10.177
Se 0.000 0.000 14.894
```

Output
crystal system: trigonal
E: -6.787 eV per atom
offset from the most stable computed form: 1.37 eV/f.u.
formation energy (no corrections): 0.39 eV per atom

A relaxed structure of Ac2In4CuPd3. Source: Alexandria via LeMat-Bulk, functional PBE.

extended XYZ file:
```
10
Lattice="4.736 0.000 0.000 0.000 4.736 0.000 0.000 0.000 10.741" Properties=species:S:1:pos:R:3 pbc="T T T"
Ac 0.000 2.368 2.593
Ac 2.368 0.000 8.148
In 0.000 0.000 5.371
In 0.000 2.368 9.487
In 2.368 0.000 1.255
In 2.368 2.368 5.371
Cu 2.368 2.368 0.000
Pd 0.000 0.000 0.000
Pd 0.000 2.368 6.810
Pd 2.368 0.000 3.932
```

Output
crystal system: tetragonal
E: -4.454 eV per atom
energy of formation: -0.569 eV/atom

A relaxed structure of RbSnSe2. Source: Alexandria via LeMat-Bulk, functional PBE.

extended XYZ file:
```
8
Lattice="-3.846 3.846 5.703 3.846 -3.846 5.703 3.846 3.846 -5.703" Properties=species:S:1:pos:R:3 pbc="T T T"
Rb 0.000 0.000 0.000
Rb 0.000 3.846 2.851
Sn 3.846 0.000 2.851
Sn 0.000 0.000 5.703
Se 1.923 -1.255 4.277
Se 2.590 1.923 1.426
Se 1.923 5.101 -1.426
Se 1.255 1.923 7.128
```

Output
crystal system: tetragonal
E: -3.669 eV per atom
formation energy (no corrections): -0.68 eV per atom

A relaxed structure of Lu2VZn. Source: Alexandria via LeMat-Bulk, functional PBE.

extended XYZ file:
```
4
Lattice="3.532 0.000 0.000 0.000 3.532 0.000 0.000 0.000 6.912" Properties=species:S:1:pos:R:3 pbc="T T T"
Lu 0.000 0.000 1.692
Lu 0.000 0.000 5.220
V 1.766 1.766 0.000
Zn 1.766 1.766 3.456
```

Output
crystal system: tetragonal
E: -4.867 eV per atom
offset from the most stable computed form: 0.00 eV/f.u.
energy of formation: -0.009 eV/atom

A relaxed structure of AuC2Br. Source: Alexandria via LeMat-Bulk, functional PBE.

extended XYZ file:
```
4
Lattice="0.000 3.023 3.023 3.023 0.000 3.023 3.023 3.023 0.000" Properties=species:S:1:pos:R:3 pbc="T T T"
Au 0.000 0.000 0.000
C 1.512 1.512 1.512
C 4.535 4.535 4.535
Br 3.023 3.023 3.023
```

Output
crystal system: cubic
E: -2.865 eV per atom
offset from the most stable computed form: 3.04 eV/f.u.
formation energy (no corrections): 2.98 eV per atom

A relaxed structure of Tb4PmPr. Source: Alexandria via LeMat-Bulk, functional PBE.

extended XYZ file:
```
6
Lattice="0.000 4.705 4.705 4.705 0.000 4.705 4.705 4.705 0.000" Properties=species:S:1:pos:R:3 pbc="T T T"
Tb 1.175 1.175 1.175
Tb 3.530 3.530 1.175
Tb 3.530 1.175 3.530
Tb 1.175 3.530 3.530
Pm 7.058 7.058 7.058
Pr 4.705 4.705 4.705
```

Output
crystal system: cubic
E: -4.399 eV per atom
offset from the most stable computed form: 1.56 eV/f.u.
energy of formation: 0.277 eV/atom

A relaxed structure of AcPm2Sm6Er. Source: Alexandria via LeMat-Bulk, functional PBE.

extended XYZ file:
```
20
Lattice="4.661 -7.786 0.000 4.661 7.786 0.000 -0.960 0.000 9.669" Properties=species:S:1:pos:R:3 pbc="T T T"
Ac 3.941 7.412 7.252
Ac 4.421 -7.412 2.417
Pm 1.890 0.904 5.282
Pm 2.370 -0.904 0.448
Pm 5.993 0.904 9.221
Pm 6.473 -0.904 4.387
Sm 2.030 4.266 6.652
Sm 4.062 4.812 0.540
Sm 4.781 4.812 4.294
Sm 2.840 1.672 8.545
Sm 5.853 4.266 7.851
Sm 5.043 1.672 5.959
Sm 3.320 -1.672 3.710
Sm 2.509 -4.266 1.818
Sm 5.523 -1.672 1.124
Sm 3.582 -4.812 5.374
Sm 4.301 -4.812 9.129
Sm 6.333 -4.266 3.017
Er 4.421 1.375 2.417
Er 3.941 -1.375 7.252
```

Output
crystal system: monoclinic
E: -4.528 eV per atom
energy of formation: 0.120 eV/atom

A relaxed structure of SmPaGa5. Source: Alexandria via LeMat-Bulk, functional PBE.

extended XYZ file:
```
7
Lattice="4.870 0.000 0.000 0.000 4.870 0.000 0.000 0.000 6.690" Properties=species:S:1:pos:R:3 pbc="T T T"
Sm 0.000 0.000 0.000
Pa 2.435 2.435 3.345
Ga 0.000 2.435 1.732
Ga 0.000 2.435 4.959
Ga 2.435 0.000 1.732
Ga 2.435 0.000 4.959
Ga 2.435 2.435 0.000
```

Output
crystal system: tetragonal
E: -4.309 eV per atom
energy of formation: -0.117 eV/atom

A relaxed structure of Tc2AuCl. Source: Alexandria via LeMat-Bulk, functional PBE.

extended XYZ file:
```
4
Lattice="5.215 -1.400 0.000 5.215 1.400 0.000 -1.619 0.000 4.706" Properties=species:S:1:pos:R:3 pbc="T T T"
Tc 0.000 0.000 0.000
Tc 7.221 0.000 0.636
Au 1.368 0.000 3.096
Cl 4.048 0.000 1.552
```

Output
crystal system: monoclinic
E: -5.909 eV per atom
offset from the most stable computed form: 1.87 eV/f.u.
formation energy (no corrections): 0.55 eV per atom

A relaxed structure of Mn2InIr. Source: Alexandria via LeMat-Bulk, functional PBE.

extended XYZ file:
```
4
Lattice="4.089 0.000 0.000 0.000 4.089 0.000 0.000 0.000 3.784" Properties=species:S:1:pos:R:3 pbc="T T T"
Mn 0.000 2.045 0.000
Mn 2.045 0.000 0.000
In 0.000 0.000 1.892
Ir 2.045 2.045 1.892
```

Output
crystal system: tetragonal
E: -7.437 eV per atom
energy of formation: 0.048 eV/atom

A relaxed structure of DyThTcHg. Source: Alexandria via LeMat-Bulk, functional PBE.

extended XYZ file:
```
4
Lattice="0.000 3.638 3.638 3.638 0.000 3.638 3.638 3.638 0.000" Properties=species:S:1:pos:R:3 pbc="T T T"
Dy 0.000 0.000 0.000
Th 3.638 3.638 3.638
Tc 1.819 1.819 1.819
Hg 5.457 5.457 5.457
```

Output
crystal system: cubic
E: -5.780 eV per atom
energy of formation: -0.107 eV/atom

A relaxed structure of PmSi3Pt2. Source: Alexandria via LeMat-Bulk, functional PBE.

extended XYZ file:
```
12
Lattice="7.569 -2.065 0.000 7.569 2.065 0.000 -2.182 0.000 6.981" Properties=species:S:1:pos:R:3 pbc="T T T"
Pm 1.966 0.000 0.701
Pm 10.989 0.000 6.280
Si -1.115 0.000 4.639
Si 3.851 0.000 3.918
Si 4.869 0.000 1.499
Si 8.086 0.000 5.483
Si 9.104 0.000 3.063
Si 14.071 0.000 2.342
Pt 1.479 0.000 4.615
Pt 5.677 0.000 5.604
Pt 7.278 0.000 1.377
Pt 11.477 0.000 2.366
```

Output
crystal system: monoclinic
E: -6.323 eV per atom
formation energy (no corrections): -0.81 eV per atom

A relaxed structure of KBeIn3. Source: Alexandria via LeMat-Bulk, functional PBE.

extended XYZ file:
```
5
Lattice="6.193 0.000 0.000 0.000 6.193 0.000 0.000 0.000 6.193" Properties=species:S:1:pos:R:3 pbc="T T T"
K 0.000 0.000 0.000
Be 3.097 3.097 3.097
In 0.000 0.000 3.097
In 0.000 3.097 0.000
In 3.097 0.000 0.000
```

Output
crystal system: cubic
E: -1.199 eV per atom
offset from the most stable computed form: 6.09 eV/f.u.
energy of formation: 1.409 eV/atom

A relaxed structure of KHgSbAu2. Source: Alexandria via LeMat-Bulk, functional PBE.

extended XYZ file:
```
5
Lattice="5.377 0.000 0.000 0.000 5.377 0.000 0.000 0.000 5.835" Properties=species:S:1:pos:R:3 pbc="T T T"
K 0.000 0.000 0.000
Hg 2.688 2.688 0.000
Sb 2.688 2.688 2.918
Au 0.000 2.688 2.918
Au 2.688 0.000 2.918
```

Output
crystal system: tetragonal
E: -2.514 eV per atom
offset from the most stable computed form: 0.47 eV/f.u.
formation energy (no corrections): -0.10 eV per atom

A relaxed structure of Mg3Ir2. Source: Alexandria via LeMat-Bulk, functional PBE.

extended XYZ file:
```
10
Lattice="0.000 8.783 2.270 4.844 0.000 2.270 4.844 8.783 0.000" Properties=species:S:1:pos:R:3 pbc="T T T"
Mg 4.844 8.783 4.539
Mg 2.422 4.391 1.133
Mg 4.848 6.838 2.270
Mg 4.841 10.727 2.270
Mg 7.263 11.230 3.406
Mg 7.270 15.118 3.406
Ir 6.731 8.785 2.265
Ir 9.154 13.171 3.401
Ir 2.957 8.780 2.265
Ir 5.379 13.176 3.401
```

Output
crystal system: orthorhombic
E: -4.618 eV per atom
offset from the most stable computed form: 0.21 eV/f.u.
energy of formation: -0.117 eV/atom

A relaxed structure of YSc4Co2. Source: Alexandria via LeMat-Bulk, functional PBE.

extended XYZ file:
```
14
Lattice="7.062 0.000 0.000 0.000 5.884 0.000 -3.031 0.000 7.008" Properties=species:S:1:pos:R:3 pbc="T T T"
Y -0.407 1.471 1.133
Y 4.439 4.413 5.875
Sc -0.050 0.001 4.082
Sc -0.050 2.941 4.082
Sc 1.547 4.413 1.839
Sc 2.670 1.471 0.107
Sc 1.361 4.413 6.901
Sc 2.485 1.471 5.169
Sc 4.081 5.883 2.926
Sc 4.081 2.943 2.926
Co -2.054 1.471 5.098
Co 1.851 1.471 2.607
Co 2.180 4.413 4.400
Co 6.085 4.413 1.910
```

Output
crystal system: monoclinic
E: -6.723 eV per atom
energy of formation: -0.151 eV/atom